Record 1
Density functional theory data (GGA-PBE) for an optimized crystal structure of Tm2Ga2O5.

abc: 8.4572 3.8831 3.8831
angles: 90.00 90.00 90.00
Closest atoms and distances in Å follow each position.
Element x y z (fractional)
O: 0.1467 0.5000 0.0000  2 Tm 2.11, 2 Ga 2.30
O: 0.8533 0.5000 0.0000  2 Tm 2.11, 2 Ga 2.30
O: 0.5000 0.5000 0.5000  2 Tm 2.16
O: 0.1467 0.0000 0.5000  2 Tm 2.11, 2 Ga 2.30
O: 0.8533 0.0000 0.5000  2 Tm 2.11, 2 Ga 2.30
Tm: 0.2449 0.5000 0.5000  5 O 2.11-2.16
Tm: 0.7551 0.5000 0.5000  5 O 2.11-2.16
Ga: 0.5000 0.0000 0.0000  4 O 2.75
Ga: 0.0000 0.0000 0.0000  8 O 2.30

Summary:
The polymorph energy (0 for the lowest one) is 5.3 kJ/mol of atoms.

Record 2
Density functional theory data (GGA-PBE) for an optimized crystal structure of TmMo3I.

abc: 4.8973 4.8973 4.8973
angles: 90.00 90.00 90.00
Closest atoms and distances in Å follow each position.
Element x y z (fractional)
Mo: 0.5000 0.5000 0.0000  2 I 2.45
Mo: 0.5000 0.0000 0.5000  2 I 2.45
Mo: 0.0000 0.5000 0.5000  2 I 2.45
I: 0.5000 0.5000 0.5000  6 Mo 2.45
Tm: 0.0000 0.0000 0.0000  12 Mo 3.46

Summary:
The value obtained for the total energy is -6.156 eV/atom.

Record 3
Density functional theory data (GGA-PBE) for an optimized crystal structure of Dy2ThCd2.

abc: 13.4791 13.4791 13.4791
angles: 159.60 159.60 29.00
Closest atoms and distances in Å follow each position.
Element x y z (fractional)
Cd: 0.8213 0.8213 0.0000  5 Dy 2.78-3.03
Cd: 0.0000 0.5000 0.5000  4 Dy 3.04, 4 Cd 3.38
Cd: 0.5000 0.0000 0.5000  4 Dy 3.04, 4 Cd 3.38
Cd: 0.1787 0.1787 0.0000  5 Dy 2.78-3.03
Th: 0.6300 0.6300 0.0000  4 Cd 3.61, 8 Dy 3.70-3.94
Th: 0.3700 0.3700 0.0000  4 Cd 3.61, 8 Dy 3.70-3.94
Dy: 0.2500 0.7500 0.5000  4 Cd 3.03, 4 Dy 3.38
Dy: 0.0723 0.0723 0.0000  5 Cd 2.78-3.04
Dy: 0.9277 0.9277 0.0000  5 Cd 2.78-3.04
Dy: 0.7500 0.2500 0.5000  4 Cd 3.03, 4 Dy 3.38

Summary:
As for the formation energy: 0.134 eV per atom.

Number 1: density 7.26 g/cm³, V 127.5 Å³/cell, magnetization 0.01 μB per cell. Number 2: density 8.25 g/cm³, V 117.5 Å³/cell, magnetization 1.42 μB per cell. Number 3: density 8.73 g/cm³, V 297.4 Å³/cell, magnetization 0.62 μB per cell.